1.
This record from the Alexandria database describes a relaxed structure of MgTcCl3. The functional is PBE.

Output
- Relative energy among the computed polymorphs: 0 kJ/mol of formula units

a = 4.9060 Å, b = 4.9060 Å, c = 4.9060 Å
α = 90.00°, β = 90.00°, γ = 90.00°
With the nearest neighbours (Å) after each atom.
Space group Pm-3m (No. 221)
Inequivalent atoms, fractional coordinates:
Mg1 0.0000 0.0000 0.0000 x1  6 Cl 2.45
Tc1 0.5000 0.5000 0.5000 x1  12 Cl 3.47
Cl1 0.0000 0.0000 0.5000 x3  2 Mg 2.45

=====

2.
This record from the Alexandria database describes a relaxed structure of MgTc4Cl. The functional is PBE.

a = 7.3946 Å, b = 7.3946 Å, c = 7.3946 Å
α = 90.00°, β = 90.00°, γ = 90.00°
With the nearest neighbours (Å) after each atom.
Space group F-43m (No. 216)
Inequivalent atoms, fractional coordinates:
Mg1 0.0000 0.0000 0.0000 x4  12 Tc 3.07, 4 Cl 3.20
Tc1 0.1241 0.1241 0.6241 x16  6 Tc 2.59-2.63
Cl1 0.2500 0.2500 0.2500 x4  12 Tc 3.06, 4 Mg 3.20

=====

3.
This record from the Alexandria database describes a relaxed structure of Mg3TcCl. The functional is PBE.

Output
- Relative energy among the computed polymorphs: 31 kJ/mol of formula units

a = 5.2573 Å, b = 5.2573 Å, c = 5.2573 Å
α = 90.00°, β = 90.00°, γ = 90.00°
With the nearest neighbours (Å) after each atom.
Space group Pm-3m (No. 221)
Inequivalent atoms, fractional coordinates:
Mg1 0.0000 0.0000 0.5000 x3  2 Tc 2.63
Tc1 0.0000 0.0000 0.0000 x1  6 Mg 2.63
Cl1 0.5000 0.5000 0.5000 x1  12 Mg 3.72

=====

4.
This record from the Alexandria database describes a relaxed structure of MgTcCl2. The functional is PBE.

Output
- Relative energy among the computed polymorphs: 82 kJ/mol of formula units

a = 3.2749 Å, b = 3.2749 Å, c = 23.7987 Å
α = 90.00°, β = 90.00°, γ = 120.00°
With the nearest neighbours (Å) after each atom.
Space group R-3m (No. 166, hexagonal axes)
Inequivalent atoms, fractional coordinates:
Mg1 0.0000 0.0000 0.0000 x3  6 Cl 2.45
Tc1 0.0000 0.0000 0.5000 x3  2 Cl 2.41
Cl1 0.0000 0.0000 0.3987 x6  1 Tc 2.41, 3 Mg 2.45

=====

5.
This record from the Alexandria database describes a relaxed structure of Mg2Tc2Cl. The functional is PBE.

Output
- Relative energy among the computed polymorphs: 0 kJ/mol of formula units

a = 3.5272 Å, b = 3.5272 Å, c = 16.4542 Å
α = 90.00°, β = 90.00°, γ = 90.00°
With the nearest neighbours (Å) after each atom.
Space group I4/mmm (No. 139)
Inequivalent atoms, fractional coordinates:
Mg1 0.0000 0.0000 0.1170 x4  4 Tc 2.81
Tc1 0.0000 0.5000 0.2500 x4  4 Tc 2.49
Cl1 0.0000 0.0000 0.5000 x2  8 Mg 3.15, 4 Cl 3.53

=====

6.
This record from the Alexandria database describes a relaxed structure of MgTc2Cl. The functional is PBE.

Output
- Relative energy among the computed polymorphs: 316 kJ/mol of formula units

a = 6.3437 Å, b = 6.3437 Å, c = 6.3437 Å
α = 90.00°, β = 90.00°, γ = 90.00°
With the nearest neighbours (Å) after each atom.
Space group F-43m (No. 216)
Inequivalent atoms, fractional coordinates:
Mg1 0.0000 0.0000 0.0000 x4  4 Cl 2.75, 4 Tc 2.75
Tc1 0.0000 0.0000 0.5000 x4  4 Cl 2.75, 4 Tc 2.75
Tc2 0.2500 0.2500 0.7500 x4  4 Tc 2.75, 4 Mg 2.75
Cl1 0.2500 0.2500 0.2500 x4  4 Tc 2.75, 4 Mg 2.75

=====

7.
This record from the Alexandria database describes a relaxed structure of MgTcCl2. The functional is PBE.

Output
- Relative energy among the computed polymorphs: 141 kJ/mol of formula units

a = 3.0943 Å, b = 4.1888 Å, c = 5.8337 Å
α = 90.00°, β = 90.00°, γ = 90.00°
With the nearest neighbours (Å) after each atom.
Space group Pmmm (No. 47)
Inequivalent atoms, fractional coordinates:
Mg1 0.0000 0.0000 0.0000 x1  4 Cl 2.60
Tc1 0.5000 0.0000 0.5000 x1  4 Cl 2.60
Cl1 0.0000 0.5000 0.5000 x1  4 Tc 2.60
Cl2 0.5000 0.5000 0.0000 x1  4 Mg 2.60

=====

8.
This record from the Alexandria database describes a relaxed structure of MgTcCl2. The functional is PBE.

Output
- Relative energy among the computed polymorphs: 109 kJ/mol of formula units

a = 3.1987 Å, b = 7.0901 Å, c = 9.5636 Å
α = 90.00°, β = 90.00°, γ = 90.00°
With the nearest neighbours (Å) after each atom.
Space group Imm2 (No. 44)
Inequivalent atoms, fractional coordinates:
Mg1 0.0000 0.0000 0.0000 x2  2 Cl 2.40
Tc1 0.0000 0.5000 0.7559 x2  2 Cl 2.37
Cl1 0.0000 0.0000 0.4392 x2  2 Tc 2.37
Cl2 0.0000 0.5000 0.3127 x2  2 Mg 2.40

=====

no.,formation energy without anion corrections (meV per atom),VASP energy (eV per atom)
1,-291.7,-3.79
2,754.3,-6.73
3,621.7,-2.78
4,-153.4,-4.07
5,12.7,-5.14
6,650.7,-5.39
7,-2.1,-3.92
8,-85.2,-4.00